This record from Alexandria describes a relaxed structure of Er4SnRh7. The functional is PBE.

extended XYZ file:
```
12
Lattice="5.5148 -2.4990 0.0000 5.5148 2.4990 0.0000 -4.9509 0.0000 8.5366" Properties=species:S:1:pos:R:3 pbc="T T T"
Er -0.3709 0.0000 2.3881
Er -1.2604 0.0000 7.1779
Er 7.3391 0.0000 1.3587
Er 6.4496 0.0000 6.1485
Sn 3.0394 0.0000 4.2683
Rh -2.4754 0.0000 4.2683
Rh 1.3506 0.0000 0.1136
Rh 0.3619 0.0000 4.9863
Rh 3.6550 0.0000 1.6574
Rh 2.4237 0.0000 6.8791
Rh 5.7168 0.0000 3.5502
Rh 4.7281 0.0000 8.4230
```

Summary:
ΔE_f   -472 meV per atom

This record from Alexandria describes a relaxed structure of Ho12ErCo6. The functional is PBE.

extended XYZ file:
```
19
Lattice="-4.8551 4.8551 4.8551 4.8551 -4.8551 4.8551 4.8551 4.8551 -4.8551" Properties=species:S:1:pos:R:3 pbc="T T T"
Ho 4.8551 -1.8599 2.9735
Ho 2.9952 1.8817 0.0000
Ho 6.7151 1.8817 0.0000
Ho 2.9735 4.8551 -1.8599
Ho 1.8817 0.0000 2.9952
Ho 4.8551 1.8599 2.9735
Ho 0.0000 2.9952 1.8817
Ho 2.9735 4.8551 1.8599
Ho 1.8817 0.0000 6.7151
Ho -1.8599 2.9735 4.8551
Ho 1.8599 2.9735 4.8551
Ho 0.0000 6.7151 1.8817
Er 0.0000 0.0000 0.0000
Co 4.8551 0.0000 1.1053
Co 4.8551 3.7498 0.0000
Co 1.1053 4.8551 0.0000
Co 3.7498 0.0000 4.8551
Co 0.0000 1.1053 4.8551
Co 0.0000 4.8551 3.7498
```

Summary:
ΔE_f   -145 meV per atom

This record from Alexandria describes a relaxed structure of LaLu3. The functional is PBE.

extended XYZ file:
```
4
Lattice="-1.8121 5.6309 3.0893 1.8121 -5.6309 3.0893 1.8121 5.6309 -3.0893" Properties=species:S:1:pos:R:3 pbc="T T T"
La 0.0000 0.0000 0.0000
Lu 1.8121 2.8682 0.9475
Lu 1.8121 0.0000 3.0433
Lu 0.0000 2.7626 4.0368
```

Summary:
ΔE_f   28 meV per atom

This record from Alexandria describes a relaxed structure of Ta2Nb2Fe. The functional is PBE.

extended XYZ file:
```
5
Lattice="-1.4283 1.4283 10.4039 1.4283 -1.4283 10.4039 1.4283 1.4283 -10.4039" Properties=species:S:1:pos:R:3 pbc="T T T"
Ta 0.0000 0.0000 1.6681
Ta 0.0000 0.0000 19.1396
Nb 0.0000 0.0000 6.4001
Nb 0.0000 0.0000 14.4076
Fe 0.0000 0.0000 10.4039
```

Summary:
ΔE_f   69 meV per atom

This record from Alexandria describes a relaxed structure of KBe2In. The functional is PBE.

extended XYZ file:
```
4
Lattice="3.6458 -2.1139 0.0000 3.6458 2.1139 0.0000 -2.4122 0.0000 6.2184" Properties=species:S:1:pos:R:3 pbc="T T T"
K 0.0000 0.0000 0.0000
Be 0.0061 0.0000 3.2269
Be 4.8733 0.0000 2.9915
In 2.4397 0.0000 3.1092
```

Summary:
ΔE_f   293 meV per atom

This record from Alexandria describes a relaxed structure of TiVN2. The functional is PBE.

extended XYZ file:
```
8
Lattice="-2.2575 2.2575 4.5471 2.2575 -2.2575 4.5471 2.2575 2.2575 -4.5471" Properties=species:S:1:pos:R:3 pbc="T T T"
Ti 0.0000 0.0000 0.0000
Ti 0.0000 2.2575 2.2736
V 2.2575 0.0000 2.2736
V 0.0000 0.0000 4.5471
N 1.1288 -1.0783 3.4104
N 1.1792 1.1288 1.1368
N 1.1288 3.3358 -1.1368
N 1.0783 1.1288 5.6839
```

Summary:
Formation energy without anion corrections   -1.120 eV/atom

This record from Alexandria describes a relaxed structure of K2RbBaI. The functional is PBE.

extended XYZ file:
```
5
Lattice="7.1915 0.0000 0.0000 0.0000 7.1915 0.0000 0.0000 0.0000 6.9213" Properties=species:S:1:pos:R:3 pbc="T T T"
K 0.0000 3.5958 0.0000
K 3.5958 0.0000 0.0000
Rb 0.0000 0.0000 3.4607
Ba 3.5958 3.5958 3.4607
I 3.5958 3.5958 0.0000
```

Summary:
Formation energy without anion corrections   -0.404 eV/atom

This record from Alexandria describes a relaxed structure of TlCd2SnIr. The functional is PBE.

extended XYZ file:
```
5
Lattice="5.3090 0.0000 0.0000 0.0000 5.3090 0.0000 0.0000 0.0000 5.0342" Properties=species:S:1:pos:R:3 pbc="T T T"
Tl 0.0000 0.0000 0.0000
Cd 0.0000 2.6545 2.5171
Cd 2.6545 0.0000 2.5171
Sn 2.6545 2.6545 0.0000
Ir 2.6545 2.6545 2.5171
```

Summary:
ΔE_f   29 meV per atom

Number 1: total moment 0.00 μB/f.u.. Number 2: total moment 0.00 μB/f.u.. Number 3: total moment 0.00 μB/f.u.. Number 4: total moment 0.00 μB/f.u.. Number 5: total moment 0.00 μB/f.u.. Number 6: total moment 0.82 μB/f.u.. Number 7: total moment 0.00 μB/f.u.. Number 8: total moment 0.00 μB/f.u..